Computed, not measured: an optimized crystal structure of ErTm2In3Ir2Pd at the PBE-GGA level of DFT.

## Properties
Uncorrected energy (eV/atom): -5.7134
Space-group type: Amm2

Cell: 3.813 7.591 7.591 Å, 120.09 90.00 90.00°
Positions (direct):
Tm (0.000, 0.000, 0.590)
Tm (0.000, 0.590, 0.000)
In (0.500, 0.739, 0.739)
In (0.500, 0.261, 0.000)
In (0.500, 0.000, 0.261)
Pd (0.000, 0.000, 0.000)
Ir (0.500, 0.333, 0.668)
Ir (0.500, 0.668, 0.333)
Er (0.000, 0.410, 0.410)

Computed, not measured: an optimized crystal structure of Y2ErIn3Ir2Pd at the PBE-GGA level of DFT.

## Properties
Uncorrected energy (eV/atom): -6.1517
Space-group type: Amm2

Cell: 3.871 7.585 7.585 Å, 119.38 90.00 90.00°
Positions (direct):
In (0.500, 0.739, 0.001)
In (0.500, 0.001, 0.739)
In (0.500, 0.259, 0.259)
Y (0.000, 0.999, 0.410)
Y (0.000, 0.410, 0.999)
Ir (0.500, 0.339, 0.665)
Ir (0.500, 0.665, 0.339)
Pd (0.000, 0.998, 0.998)
Er (0.000, 0.590, 0.590)